# 1
Entry from Alexandria via LeMat-Bulk: a relaxed structure of CaGaTc2 (PBE-GGA).

Properties
Energy of formation from the pure elements ... 9.999 kcal/mol of atoms
Crystal system ... tetragonal
SG ... I-42d (122)

a = 9.858 Å, b = 9.858 Å, c = 9.858 Å
α = 155.43°, β = 155.43°, γ = 35.02°
Fractional coordinates of all 8 atoms:
1 Ca 0.000 0.000 0.000
2 Ca 0.750 0.250 0.500
3 Ga 0.250 0.750 0.500
4 Ga 0.500 0.500 0.000
5 Tc 0.237 0.625 0.112
6 Tc 0.375 0.487 0.612
7 Tc 0.513 0.125 0.888
8 Tc 0.875 0.763 0.388

# 2
Entry from Alexandria via LeMat-Bulk: a relaxed structure of CaGa2Tc (PBE-GGA).

Properties
Energy of formation from the pure elements ... -0.418 kcal/mol of atoms
Crystal system ... cubic
SG ... Fm-3m (225)

a = 4.642 Å, b = 4.642 Å, c = 4.642 Å
α = 60.00°, β = 60.00°, γ = 60.00°
Fractional coordinates of all 4 atoms:
1 Ca 0.000 0.000 0.000
2 Ga 0.250 0.250 0.250
3 Ga 0.750 0.750 0.750
4 Tc 0.500 0.500 0.500

# 3
Entry from Alexandria via LeMat-Bulk: a relaxed structure of CaGaTc3 (PBE-GGA).

Properties
Energy of formation from the pure elements ... 56.548 kcal/mol of atoms
Crystal system ... cubic
SG ... Pm-3m (221)

a = 4.647 Å, b = 4.647 Å, c = 4.647 Å
α = 90.00°, β = 90.00°, γ = 90.00°
Fractional coordinates of all 5 atoms:
1 Ca 0.000 0.000 0.000
2 Ga 0.500 0.500 0.500
3 Tc 0.000 0.000 0.500
4 Tc 0.000 0.500 0.000
5 Tc 0.500 0.000 0.000

# 4
Entry from Alexandria via LeMat-Bulk: a relaxed structure of CaGa3Tc (PBE-GGA).

Properties
Energy of formation from the pure elements ... 40.615 kcal/mol of atoms
Crystal system ... cubic
SG ... Pm-3m (221)

a = 5.130 Å, b = 5.130 Å, c = 5.130 Å
α = 90.00°, β = 90.00°, γ = 90.00°
Fractional coordinates of all 5 atoms:
1 Ca 0.000 0.000 0.000
2 Ga 0.000 0.000 0.500
3 Ga 0.000 0.500 0.000
4 Ga 0.500 0.000 0.000
5 Tc 0.500 0.500 0.500

# 5
Entry from Alexandria via LeMat-Bulk: a relaxed structure of CaGa3Tc (PBE-GGA).

Properties
Energy of formation from the pure elements ... -6.188 kcal/mol of atoms
Crystal system ... cubic
SG ... Pm-3m (221)

a = 4.827 Å, b = 4.827 Å, c = 4.827 Å
α = 90.00°, β = 90.00°, γ = 90.00°
Fractional coordinates of all 5 atoms:
1 Ca 0.000 0.000 0.000
2 Ga 0.000 0.500 0.500
3 Ga 0.500 0.000 0.500
4 Ga 0.500 0.500 0.000
5 Tc 0.500 0.500 0.500

# 6
Entry from Alexandria via LeMat-Bulk: a relaxed structure of CaGa3Tc (PBE-GGA).

Properties
Energy of formation from the pure elements ... -7.975 kcal/mol of atoms
Crystal system ... monoclinic
SG ... C2/m (12)

a = 6.908 Å, b = 6.908 Å, c = 5.076 Å
α = 91.44°, β = 91.44°, γ = 56.48°
Fractional coordinates of all 10 atoms:
1 Ca 0.155 0.155 0.487
2 Ca 0.845 0.845 0.513
3 Ga 0.000 0.500 0.000
4 Ga 0.187 0.813 0.000
5 Ga 0.406 0.406 0.362
6 Ga 0.500 0.000 0.000
7 Ga 0.594 0.594 0.638
8 Ga 0.813 0.187 0.000
9 Tc 0.388 0.388 0.850
10 Tc 0.612 0.612 0.150

# 7
Entry from Alexandria via LeMat-Bulk: a relaxed structure of CaGa3Tc3 (PBE-GGA).

Properties
Energy of formation from the pure elements ... -1.008 kcal/mol of atoms
Crystal system ... hexagonal
SG ... P6_3/m (176)

a = 7.721 Å, b = 7.721 Å, c = 4.498 Å
α = 90.00°, β = 90.00°, γ = 120.00°
Fractional coordinates of all 14 atoms:
1 Ca 0.333 0.667 0.250
2 Ca 0.667 0.333 0.750
3 Ga 0.067 0.432 0.750
4 Ga 0.365 0.933 0.750
5 Ga 0.432 0.365 0.250
6 Ga 0.568 0.635 0.750
7 Ga 0.635 0.067 0.250
8 Ga 0.933 0.568 0.250
9 Tc 0.013 0.216 0.250
10 Tc 0.202 0.987 0.250
11 Tc 0.216 0.202 0.750
12 Tc 0.784 0.798 0.250
13 Tc 0.798 0.013 0.750
14 Tc 0.987 0.784 0.750

# 8
Entry from Alexandria via LeMat-Bulk: a relaxed structure of CaZnGa2Tc (PBE-GGA).

Properties
Energy of formation from the pure elements ... -3.638 kcal/mol of atoms
Crystal system ... tetragonal
SG ... P4/mmm (123)

a = 4.798 Å, b = 4.798 Å, c = 4.890 Å
α = 90.00°, β = 90.00°, γ = 90.00°
Fractional coordinates of all 5 atoms:
1 Ca 0.000 0.000 0.000
2 Zn 0.500 0.500 0.000
3 Ga 0.000 0.500 0.500
4 Ga 0.500 0.000 0.500
5 Tc 0.500 0.500 0.500